VASP calculation (PBE) on a relaxed structure of PrDyPuO6.

For the uncorrected formation energy, the calculation gives -3.036 eV/atom. As for the density: 7.48 g cm⁻³.

The space group is P-31c (No. 163) and the conventional cell measures 5.7827, 5.7827 and 9.8612 Å, with angles of 90.00, 90.00 and 120.00 degrees. The distinct sites, in fractional coordinates, are Pr at (0.0000, 0.0000, 0.0000), Dy at (0.3333, 0.6667, 0.2500), Pu at (0.3333, 0.6667, 0.7500) and O at (0.0256, 0.3657, 0.6377).